Computed, not measured: LiMgNbTc after structural relaxation at the PBE-GGA level of DFT.

Structure (CIF):
```
data_LiMgNbTc
_chemical_formula_sum 'Li1 Mg1 Nb1 Tc1'
_space_group_name_H-M_alt 'P 1 m 1'
_space_group_IT_number 6
_cell_length_a 2.7095
_cell_length_b 4.3481
_cell_length_c 5.8242
_cell_angle_alpha 90.00
_cell_angle_beta 98.79
_cell_angle_gamma 90.00
loop_
_space_group_symop_operation_xyz
'x,y,z'
'x,-y,z'
loop_
_atom_site_label
_atom_site_type_symbol
_atom_site_fract_x
_atom_site_fract_y
_atom_site_fract_z
_atom_site_occupancy
Li1 Li 0.0000 0.0000 0.0000 1
Mg1 Mg 0.7769 0.5000 0.2433 1
Nb1 Nb 0.2672 0.5000 0.7238 1
Tc1 Tc 0.4867 0.0000 0.5165 1
```

Computed properties:
formation energy from the elements = 145 meV per atom
total energy = -23.36 eV per formula unit
energy above the lowest structure with this stoichiometry = 50 meV per atom
density of states at the Fermi level = 1.97 states/eV/cell
magnetic moment = 0.00 μB/f.u.